[1]
{
  "formula": "Tm6C3Se2S",
  "functional": "PBE",
  "state": "optimized geometry",
  "formation_energy_uncorrected_ev_per_atom": -1.24,
  "cell": [[8.3299, -1.8447, 0.0000], [8.3299, 1.8447, 0.0000], [-2.2088, 0.0000, 7.3686]],
  "species": ["Tm", "Tm", "Tm", "Tm", "Tm", "Tm", "C", "C", "C", "Se", "Se", "S"],
  "frac_coords": [[0.0102, 0.0102, 0.2285], [0.3245, 0.3245, 0.4446], [0.3453, 0.3453, 0.8893], [0.6547, 0.6547, 0.1107], [0.6755, 0.6755, 0.5554], [0.9898, 0.9898, 0.7715], [0.1658, 0.1658, 0.3347], [0.5000, 0.5000, 0.0000], [0.8342, 0.8342, 0.6653], [0.1669, 0.1669, 0.8335], [0.8331, 0.8331, 0.1665], [0.5000, 0.5000, 0.5000]]
}

[2]
{
  "formula": "CuPRu2",
  "functional": "PBE",
  "state": "optimized geometry",
  "ef_ev_per_atom": 0.20,
  "cell": [[-1.8307, 1.8307, 3.8880], [1.8307, -1.8307, 3.8880], [1.8307, 1.8307, -3.8880]],
  "species": ["Cu", "P", "Ru", "Ru"],
  "frac_coords": [[0.0000, 0.0000, 0.0000], [0.2500, 0.7500, 0.5000], [0.5000, 0.5000, 0.0000], [0.7500, 0.2500, 0.5000]]
}